(1)
A plane-wave DFT calculation with PBE-GGA was carried out for a geometry-optimized Sm2MnGaPt6 structure.

As for the raw total energy: -65.08 eV per formula unit.

The structure belongs to space group R-3m (No. 166, hexagonal axes); the cell edges are 5.6147, 5.6147 and 23.5625 Å and the angles 90.00°, 90.00° and 120.00°. The asymmetric unit holds Sm at (0.0000, 0.0000, 0.2027), Mn at (0.0000, 0.0000, 0.5000), Ga at (0.0000, 0.0000, 0.0000) and Pt at (0.9996, 0.4998, 0.2489).

---

(2)
A plane-wave DFT calculation with PBE-GGA was carried out for a geometry-optimized SmMnGa5Pt2 structure.

As for the raw total energy: -43.80 eV per formula unit.

The structure belongs to space group P4/mmm (No. 123); the cell edges are 4.280, 4.280 and 10.155 Å and the angles 90.00°, 90.00° and 90.00°. The asymmetric unit holds Sm at (0.000, 0.000, 0.000), Mn at (0.000, 0.000, 0.500), Ga at (0.000, 0.500, 0.358), Ga at (0.500, 0.500, 0.000) and Pt at (0.500, 0.500, 0.230).

---

(3)
A plane-wave DFT calculation with PBE-GGA was carried out for a geometry-optimized SrMnGa2Pt structure.

As for the raw total energy: -20.88 eV per formula unit.

The structure belongs to space group P4/mmm (No. 123); the cell edges are 4.590, 4.590 and 5.058 Å and the angles 90.00°, 90.00° and 90.00°. The asymmetric unit holds Sr at (0.000, 0.000, 0.000), Mn at (0.000, 0.000, 0.500), Ga at (0.000, 0.500, 0.500) and Pt at (0.500, 0.500, 0.000).

---

(4)
A plane-wave DFT calculation with PBE-GGA was carried out for a geometry-optimized Sr2MnGa4Pt3 structure.

As for the raw total energy: -49.68 eV per formula unit.

The structure belongs to space group P-4m2 (No. 115); the cell edges are 4.349, 4.349 and 10.683 Å and the angles 90.00°, 90.00° and 90.00°. The asymmetric unit holds Sr at (0.000, 0.500, 0.249), Mn at (0.500, 0.500, 0.000), Ga at (0.000, 0.000, 0.500), Ga at (0.000, 0.500, 0.870), Ga at (0.500, 0.500, 0.500), Pt at (0.000, 0.000, 0.000) and Pt at (0.000, 0.500, 0.629).

---

(5)
A plane-wave DFT calculation with PBE-GGA was carried out for a geometry-optimized Sr2MnGa3Pt4 structure.

As for the raw total energy: -53.39 eV per formula unit.

The structure belongs to space group P-4m2 (No. 115); the cell edges are 4.262, 4.262 and 11.026 Å and the angles 90.00°, 90.00° and 90.00°. The asymmetric unit holds Sr at (0.000, 0.500, 0.250), Mn at (0.000, 0.000, 0.500), Ga at (0.000, 0.500, 0.870), Ga at (0.500, 0.500, 0.500), Pt at (0.000, 0.000, 0.000), Pt at (0.000, 0.500, 0.638) and Pt at (0.500, 0.500, 0.000).

---

(6)
A plane-wave DFT calculation with PBE-GGA was carried out for a geometry-optimized TbMnGaPt3 structure.

As for the raw total energy: -37.90 eV per formula unit.

The structure belongs to space group Cmcm (No. 63); the cell edges are 5.600, 16.330 and 5.597 Å and the angles 90.00°, 90.00° and 90.00°. The asymmetric unit holds Tb at (0.000, 0.203, 0.250), Mn at (0.000, 0.400, 0.750), Ga at (0.000, 0.095, 0.750), Pt at (0.000, 0.247, 0.750) and Pt at (0.249, 0.500, 0.000).

---

ΔH_f (0 K), respectively: -0.720, -0.300, 0.414, -0.691, -0.761, -0.492 eV per atom.
Theoretical density, respectively: 12.36, 8.43, 7.43, 8.99, 10.11, 11.27 g/cm3.